# ZrMnIn2

A relaxed ZrMnIn2 crystal (GGA-PBEsol, the Alexandria database).

Calculated values
E_tot (eV/atom): -6.11
Volume (Å³ per atom): 19.228
E_form (eV per atom): 0.10
Space-group type: Fm-3m
Crystal system: cubic

Cell lengths 4.7735, 4.7735, 4.7735 Å; angles 60.00, 60.00, 60.00 degrees
Atoms (fractional coordinates):
1 Zr 0.5000 0.5000 0.5000
2 Mn 0.0000 0.0000 0.0000
3 In 0.2500 0.2500 0.2500
4 In 0.7500 0.7500 0.7500

# Li2MgAu

A relaxed Li2MgAu crystal (GGA-PBEsol, the Alexandria database).

Calculated values
E_tot (eV/atom): -2.70
Volume (Å³ per atom): 16.723
E_form (eV per atom): -0.31
Space-group type: P2/m
Crystal system: monoclinic

Cell lengths 2.9181, 4.6366, 4.9806 Å; angles 90.00, 96.96, 90.00 degrees
Atoms (fractional coordinates):
1 Li 0.2344 0.0000 0.2727
2 Li 0.7656 0.0000 0.7273
3 Mg 0.5000 0.5000 0.0000
4 Au 0.0000 0.5000 0.5000

The highest volume belongs to which entry? ZrMnIn2

Which of these has the highest E_tot? Li2MgAu